No. 1
Compound: BiRhClF2
Source: Alexandria via LeMat-Bulk
Functional: meta-GGA SCAN
Structure: PBEsol geometry

Cell: 4.3969 4.3969 5.6689 Å, 90.00 90.00 90.00°
Last column: nearest neighbours and their distance in Å.
Atoms (fractional coordinates):
F1 0.0000 0.5000 0.0000  2 Bi 2.20
F2 0.5000 0.0000 0.0000  2 Bi 2.20
Rh1 0.5000 0.5000 0.5000  4 Cl 3.11
Bi1 0.0000 0.0000 0.0000  4 F 2.20
Cl1 0.0000 0.0000 0.5000  2 Bi 2.83, 4 Rh 3.11

Summary:
raw formation energy	-0.607	eV per atom
DOS(E_F)	0.82	states/eV per atom
calculated total energy	-130.44	eV for the cell shown
magnetization	1.579	μB/f.u.
V	110	Å³/cell



No. 2
Compound: FeBiCl2
Source: Alexandria via LeMat-Bulk
Functional: meta-GGA SCAN
Structure: PBEsol geometry

Cell: 4.8543 4.8543 4.8543 Å, 60.00 60.00 60.00°
Last column: nearest neighbours and their distance in Å.
Atoms (fractional coordinates):
Cl1 0.2500 0.2500 0.2500  4 Fe 2.97, 4 Bi 2.97
Cl2 0.7500 0.7500 0.7500  4 Fe 2.97, 4 Bi 2.97
Bi1 0.5000 0.5000 0.5000  8 Cl 2.97
Fe1 0.0000 0.0000 0.0000  8 Cl 2.97

Summary:
raw formation energy	0.293	eV per atom
DOS(E_F)	0.65	states/eV per atom
calculated total energy	-111.49	eV for the cell shown
magnetization	3.154	μB/f.u.
V	81	Å³/cell



No. 3
Compound: HfFeBi2Cl
Source: Alexandria via LeMat-Bulk
Functional: meta-GGA SCAN
Structure: PBEsol geometry

Cell: 4.7778 5.0072 5.0072 Å, 90.00 90.00 90.00°
Last column: nearest neighbours and their distance in Å.
Atoms (fractional coordinates):
Cl1 0.5000 0.5000 0.5000  8 Bi 3.46, 4 Hf 3.54
Hf1 0.5000 0.0000 0.0000  2 Fe 2.39
Bi1 0.0000 0.0000 0.5000  2 Fe 2.50
Bi2 0.0000 0.5000 0.0000  2 Fe 2.50
Fe1 0.0000 0.0000 0.0000  2 Hf 2.39, 4 Bi 2.50

Summary:
raw formation energy	0.353	eV per atom
DOS(E_F)	0.88	states/eV per atom
calculated total energy	-244.18	eV for the cell shown
magnetization	0.002	μB/f.u.
V	120	Å³/cell